CaMnRhN2 | GGA-PBE | optimized geometry

Structure (POSCAR):
```
CaMnRhN2
1.0
-3.301 0.084 2.170
2.567 -2.748 4.011
1.146 3.421 1.611
Ca Mn Rh N
1 1 1 2
Direct
0.000 0.500 0.000
0.500 0.500 0.500
0.000 0.000 0.000
0.000 0.000 0.500
0.500 0.000 0.000
```

As for the space-group type: No. 123. For the density of states at the Fermi level, the calculation gives 3.507 states/eV/f.u. The electronic total energy is -5.768 eV per atom.